Density functional theory data (GGA-PBE) for an optimized crystal structure of Ce4Ni.

Cell lengths 7.248, 7.248, 7.248 Å; angles 60.00, 60.00, 60.00 degrees
Element x y z (fractional)
Ce 0.199 0.767 0.767
Ce 0.233 0.233 0.233
Ce 0.233 0.233 0.801
Ce 0.233 0.801 0.233
Ce 0.767 0.199 0.767
Ce 0.767 0.767 0.199
Ce 0.767 0.767 0.767
Ce 0.801 0.233 0.233
Ni 0.375 0.375 0.375
Ni 0.625 0.625 0.625

- DFT formation energy: 0.2860 eV/atom
- Total magnetic moment: 0.01 Bohr magnetons per cell
- Density of states at the Fermi level: 28.60 states/eV per cell